Entry 1:
Below is a geometry-optimized TbCePrEr3 structure, with properties calculated at the PBE-GGA level. Values from VASP.

Geometry as Quantum ESPRESSO input:
```
&SYSTEM
  ibrav = 0, nat = 12, ntyp = 4
/
ATOMIC_SPECIES
Tb 158.93 Tb.upf
Ce 140.12 Ce.upf
Pr 140.91 Pr.upf
Er 167.26 Er.upf
ATOMIC_POSITIONS angstrom
Tb 2.922 3.658 8.773
Tb 2.922 -3.658 2.924
Ce 2.922 0.023 8.773
Ce 2.922 -0.023 2.924
Pr 0.000 0.000 0.000
Pr 0.000 0.000 5.849
Er 2.922 3.693 2.924
Er 2.922 1.921 0.023
Er 2.922 1.921 5.825
Er 2.922 -1.921 5.872
Er 2.922 -1.921 11.674
Er 2.922 -3.693 8.773
CELL_PARAMETERS angstrom
2.922 -5.631 0.000
2.922 5.631 0.000
0.000 0.000 11.698
```

* ΔE_f: 0.9 eV/f.u.
* V: 192 Å³/f.u.
* spin magnetization: 1.24 μB per formula unit
* SG: No. 63

Entry 2:
Below is a geometry-optimized TlRe2Hg structure, with properties calculated at the PBE-GGA level. Values from VASP.

Geometry as Quantum ESPRESSO input:
```
&SYSTEM
  ibrav = 0, nat = 4, ntyp = 3
/
ATOMIC_SPECIES
Tl 204.38 Tl.upf
Re 186.21 Re.upf
Hg 200.59 Hg.upf
ATOMIC_POSITIONS angstrom
Tl 0.000 0.000 0.000
Re 0.000 2.339 1.628
Re 2.339 0.000 1.628
Hg 2.339 2.339 0.000
CELL_PARAMETERS angstrom
4.679 0.000 0.000
0.000 4.679 0.000
0.000 0.000 3.256
```

* ΔE_f: 5.5 eV/f.u.
* V: 71 Å³/f.u.
* spin magnetization: 0.00 μB per formula unit
* SG: No. 123
* energy above the most stable polymorph in this dataset: 915 meV/atom

Entry 3:
Below is a geometry-optimized CsNaZr2Ir structure, with properties calculated at the PBE-GGA level. Values from VASP.

Geometry as Quantum ESPRESSO input:
```
&SYSTEM
  ibrav = 0, nat = 5, ntyp = 4
/
ATOMIC_SPECIES
Cs 132.91 Cs.upf
Na 22.99 Na.upf
Zr 91.22 Zr.upf
Ir 192.22 Ir.upf
ATOMIC_POSITIONS angstrom
Cs 0.000 0.000 0.000
Na 2.645 2.645 2.519
Zr 0.000 2.645 0.000
Zr 2.645 0.000 0.000
Ir 0.000 0.000 2.519
CELL_PARAMETERS angstrom
5.289 0.000 0.000
0.000 5.289 0.000
0.000 0.000 5.038
```

* ΔE_f: 10.0 eV/f.u.
* V: 141 Å³/f.u.
* spin magnetization: 0.00 μB per formula unit
* SG: No. 123

Entry 4:
Below is a geometry-optimized CrMo2 structure, with properties calculated at the PBE-GGA level. Values from VASP.

Geometry as Quantum ESPRESSO input:
```
&SYSTEM
  ibrav = 0, nat = 3, ntyp = 2
/
ATOMIC_SPECIES
Cr 52.00 Cr.upf
Mo 95.94 Mo.upf
ATOMIC_POSITIONS angstrom
Cr 0.000 0.000 0.000
Mo 0.000 0.000 3.105
Mo 0.000 0.000 6.091
CELL_PARAMETERS angstrom
-1.540 1.540 4.598
1.540 -1.540 4.598
1.540 1.540 -4.598
```

* ΔE_f: 0.2 eV/f.u.
* V: 44 Å³/f.u.
* spin magnetization: 0.00 μB per formula unit
* SG: No. 139
* energy above the most stable polymorph in this dataset: 11 meV/atom

Q: Among the records above, which one has the lowest V?
A: CrMo2

Q: The lowest ΔE_f belongs to which entry?
A: CrMo2